4
Lattice="0.000 3.380 3.380 3.380 0.000 3.380 3.380 3.380 0.000" Properties=species:S:1:pos:R:3 comment="HoPaFeRu | Alexandria via LeMat-Bulk | PBE | optimized geometry" vol_a3_per_atom=19.31 delta_e_f_mev_per_atom=-174 rho_g_cm3=11.9 magmom_total_mub_per_cell=0.64 pbc="T T T"
Ho 0.000 0.000 0.000
Pa 3.380 3.380 3.380
Fe 1.690 1.690 1.690
Ru 5.070 5.070 5.070

---

4
Lattice="0.000 3.377 3.377 3.377 0.000 3.377 3.377 3.377 0.000" Properties=species:S:1:pos:R:3 comment="HoPaFeTc | Alexandria via LeMat-Bulk | PBE | optimized geometry" vol_a3_per_atom=19.25 delta_e_f_mev_per_atom=-43 rho_g_cm3=11.9 magmom_total_mub_per_cell=0.33 pbc="T T T"
Ho 0.000 0.000 0.000
Pa 3.377 3.377 3.377
Fe 1.688 1.688 1.688
Tc 5.065 5.065 5.065

---

12
Lattice="-3.378 6.423 3.228 3.378 -6.423 3.228 3.378 6.423 -3.228" Properties=species:S:1:pos:R:3 comment="HoTm2PaFe2 | Alexandria via LeMat-Bulk | PBE | optimized geometry" vol_a3_per_atom=23.35 delta_e_f_mev_per_atom=-49 rho_g_cm3=10.0 magmom_total_mub_per_cell=0.00 pbc="T T T"
Ho 0.000 0.000 1.614
Ho 0.000 0.000 4.843
Tm 4.606 2.612 0.000
Tm 1.228 3.811 0.000
Tm 2.150 2.612 3.228
Tm -1.228 3.811 3.228
Pa 3.378 0.000 1.614
Pa 0.000 6.423 1.614
Fe 2.058 1.257 0.000
Fe 2.058 -1.257 3.228
Fe 1.320 7.680 0.000
Fe 1.320 5.167 3.228

---

5
Lattice="5.113 0.000 0.000 0.000 5.113 0.000 0.000 0.000 5.113" Properties=species:S:1:pos:R:3 comment="Ho3FePb | Alexandria via LeMat-Bulk | PBE | optimized geometry" vol_a3_per_atom=26.74 delta_e_f_mev_per_atom=-99 rho_g_cm3=9.4 magmom_total_mub_per_cell=0.00 pbc="T T T"
Ho 0.000 0.000 2.557
Ho 0.000 2.557 0.000
Ho 2.557 0.000 0.000
Fe 0.000 0.000 0.000
Pb 2.557 2.557 2.557

---

Ordered calculated total energy results: -8.127 -8.269 -6.706 -5.280; unit eV per atom.